DFT (PBE+U) results for a relaxed Pr5Te7WCl3O23 crystal. Values from VASP.

## Properties
* raw total energy: -6.385 eV per atom
* DOS(E_F): 0.00 states/eV/atom

Quantum ESPRESSO input file:
```
&SYSTEM
  ibrav = 0, nat = 78, ntyp = 5
/
ATOMIC_SPECIES
W 183.84 W.upf
O 16.00 O.upf
Pr 140.91 Pr.upf
Cl 35.45 Cl.upf
Te 127.60 Te.upf
CELL_PARAMETERS angstrom
7.741 0.000 0.013
3.871 9.383 0.006
2.309 0.000 18.612
ATOMIC_POSITIONS crystal
W 0.729 0.004 0.024
W 0.267 0.004 0.976
O 0.102 0.846 0.300
O 0.231 0.996 0.189
O 0.302 0.841 0.027
O 0.073 0.477 0.161
O 0.695 0.163 0.969
O 0.895 0.264 0.175
O 0.789 0.739 0.152
O 0.195 0.695 0.161
O 0.923 0.635 0.459
O 0.290 0.628 0.380
O 0.450 0.477 0.839
O 0.965 0.137 0.312
O 0.479 0.693 0.262
O 0.112 0.018 0.911
O 0.472 0.739 0.848
O 0.036 0.376 0.692
O 0.052 0.846 0.700
O 0.693 0.678 0.612
O 0.630 0.678 0.388
O 0.301 0.337 0.386
O 0.142 0.163 0.031
O 0.505 0.004 0.075
O 0.071 0.376 0.536
O 0.441 0.635 0.541
O 0.361 0.337 0.614
O 0.499 0.287 0.163
O 0.588 0.376 0.308
O 0.828 0.693 0.738
O 0.165 0.307 0.266
O 0.491 0.004 0.925
O 0.773 0.996 0.811
O 0.553 0.376 0.464
O 0.916 0.364 0.388
O 0.898 0.137 0.688
O 0.841 0.264 0.825
O 0.870 0.018 0.089
O 0.858 0.841 0.973
O 0.214 0.287 0.837
O 0.887 0.512 0.838
O 0.601 0.512 0.162
O 0.082 0.628 0.620
O 0.720 0.364 0.612
O 0.110 0.695 0.839
O 0.416 0.620 0.695
O 0.528 0.307 0.734
O 0.964 0.620 0.305
Pr 0.810 0.477 0.262
Pr 0.227 0.546 0.500
Pr 0.474 0.772 0.133
Pr 0.713 0.477 0.738
Pr 0.246 0.220 0.137
Pr 0.534 0.220 0.863
Pr 0.193 0.512 0.742
Pr 0.296 0.512 0.258
Pr 0.759 0.482 0.500
Pr 0.754 0.772 0.867
Cl 0.439 0.009 0.707
Cl 0.469 0.062 0.500
Cl 0.305 0.390 0.000
Cl 0.701 0.598 0.000
Cl 0.058 0.884 0.500
Cl 0.553 0.009 0.293
Te 0.862 0.787 0.649
Te 0.317 0.649 0.895
Te 0.416 0.752 0.620
Te 0.035 0.649 0.105
Te 0.970 0.332 0.887
Te 0.698 0.332 0.113
Te 0.172 0.253 0.613
Te 0.831 0.752 0.380
Te 0.352 0.787 0.351
Te 0.994 0.006 0.237
Te 0.149 0.216 0.357
Te 0.000 0.006 0.763
Te 0.576 0.253 0.387
Te 0.635 0.216 0.643
```